Entry one
Below is PmThIn after structural relaxation, with properties calculated at the GGA-PBE level.

POSCAR file:
```
PmThIn
1.0
-2.541 -1.309 -4.092
2.819 -3.498 -0.632
-6.181 -2.900 4.767
Pm In Th
2 2 2
Cartesian
-4.693 -4.281 2.762
-1.211 -3.426 -2.719
-4.411 -6.544 0.266
-1.493 -1.163 -0.223
-1.538 -4.329 0.818
-4.365 -3.378 -0.775
```

Results
Size of the total moment ... 0.00 μB per formula unit

Entry two
Below is PmThIn after structural relaxation, with properties calculated at the GGA-PBE level.

POSCAR file:
```
PmThIn
1.0
5.713 0.000 0.000
0.000 6.377 -0.013
0.000 -0.574 6.352
Th Pm In
2 2 2
Cartesian
2.856 0.613 5.265
2.856 5.191 1.074
0.000 0.000 0.000
2.856 2.902 3.169
0.000 1.956 2.136
0.000 3.848 4.203
```

Results
Size of the total moment ... 0.00 μB per formula unit

Entry three
Below is PmThIn after structural relaxation, with properties calculated at the GGA-PBE level.

POSCAR file:
```
PmThIn
1.0
3.639 0.000 0.000
0.000 5.388 0.000
0.000 -2.694 4.666
Th Pm In
1 1 1
Cartesian
1.360 0.000 3.111
3.418 0.000 0.000
2.500 2.694 1.555
```

Results
Size of the total moment ... 0.00 μB per formula unit

Bottom line: entry one, by a margin of 194 meV per atom.

Entry one
Below is Pm8TlIn2 after structural relaxation, with properties calculated at the GGA-PBE level.

POSCAR file:
```
Pm8TlIn2
1.0
4.988 0.000 -1.514
-1.072 7.941 -3.532
0.042 -0.774 9.104
Pm Tl In
8 1 2
Cartesian
-0.334 2.472 -1.099
3.391 6.263 2.196
0.566 0.905 1.862
2.830 3.230 0.351
2.356 6.743 -1.212
1.602 0.424 5.271
4.291 4.696 5.158
1.127 3.937 3.708
2.494 0.000 -0.757
3.720 1.957 3.271
0.237 5.211 0.787
```

Results
Size of the total moment ... 0.00 μB per formula unit

Entry two
Below is Pm8TlIn2 after structural relaxation, with properties calculated at the GGA-PBE level.

POSCAR file:
```
Pm8TlIn2
1.0
-3.853 -2.719 -1.794
4.396 -1.712 -6.845
3.227 -4.598 7.131
Pm In Tl
8 2 1
Cartesian
0.431 -7.106 2.747
3.463 -5.750 1.276
2.514 -7.002 -1.881
0.307 -3.279 -2.784
2.672 -5.108 -5.090
1.257 -2.026 0.372
1.099 -3.920 3.581
3.339 -1.923 -4.256
0.354 -5.240 0.086
3.416 -3.789 -1.595
-1.926 -1.359 -0.897
```

Results
Size of the total moment ... 0.00 μB per formula unit

Bottom line: entry two, by a margin of 38 meV per atom.

Entry one
Below is Pm8Tl2In after structural relaxation, with properties calculated at the GGA-PBE level.

POSCAR file:
```
Pm8Tl2In
1.0
-3.846 1.851 3.188
-0.476 -6.549 3.229
8.346 4.195 3.179
Pm In Tl
8 1 2
Cartesian
2.430 0.069 2.891
4.325 3.220 3.348
-0.171 -4.826 2.596
1.594 -0.572 6.706
4.196 4.324 7.001
-0.966 -1.185 3.973
4.991 0.682 5.623
-0.301 -3.722 6.249
-1.923 0.926 1.594
1.974 -2.869 4.047
2.051 2.366 5.550
```

Results
Size of the total moment ... 0.00 μB per formula unit

Entry two
Below is Pm8Tl2In after structural relaxation, with properties calculated at the GGA-PBE level.

POSCAR file:
```
Pm8Tl2In
1.0
4.817 0.000 -1.556
-1.157 7.449 -3.582
0.262 0.737 9.047
Pm In Tl
8 1 2
Cartesian
1.644 0.915 5.092
0.517 1.704 1.602
-0.543 5.511 -1.681
2.278 7.271 -1.183
2.397 3.496 -0.814
3.405 6.482 2.308
1.525 4.690 4.724
4.465 2.675 5.590
2.409 0.000 -0.778
3.471 3.049 2.511
0.452 5.137 1.399
```

Results
Size of the total moment ... 0.00 μB per formula unit

Bottom line: entry two, by a margin of 37 meV per atom.

Entry one
Below is Pm4TlIn2 after structural relaxation, with properties calculated at the GGA-PBE level.

POSCAR file:
```
Pm4TlIn2
1.0
6.247 0.021 -2.186
-3.108 5.394 -2.247
0.012 -0.021 6.618
In Pm Tl
2 4 1
Cartesian
3.129 0.000 2.216
1.570 2.707 -2.216
0.006 -0.010 3.309
1.576 2.697 1.093
-1.554 2.697 -1.123
3.123 0.010 -1.093
0.000 0.000 0.000
```

Results
Size of the total moment ... 0.00 μB per formula unit

Entry two
Below is Pm4TlIn2 after structural relaxation, with properties calculated at the GGA-PBE level.

POSCAR file:
```
Pm4TlIn2
1.0
5.947 0.000 0.000
0.000 5.947 0.000
-2.973 -2.973 6.590
Pm Tl In
4 1 2
Cartesian
0.000 2.973 3.295
2.973 0.000 0.000
0.000 2.973 0.000
2.973 0.000 3.295
0.000 0.000 0.000
0.000 0.000 4.955
2.973 2.973 1.635
```

Results
Size of the total moment ... 0.00 μB per formula unit

Bottom line: entry one, by a margin of 245 meV per atom.

Entry one
Below is Pm3TlIn after structural relaxation, with properties calculated at the GGA-PBE level.

POSCAR file:
```
Pm3TlIn
1.0
5.006 0.000 1.144
0.000 5.134 0.000
-0.060 0.000 11.788
Pm Tl In
6 2 2
Cartesian
1.865 1.284 10.835
0.342 3.851 5.974
1.320 3.851 1.694
2.843 1.284 6.556
3.820 1.284 2.280
4.371 3.851 11.394
3.334 3.851 4.404
4.856 1.284 9.270
2.354 3.851 8.692
0.830 1.284 3.838
```

Results
Size of the total moment ... 0.00 μB per formula unit

Entry two
Below is Pm3TlIn after structural relaxation, with properties calculated at the GGA-PBE level.

POSCAR file:
```
Pm3TlIn
1.0
-1.490 -2.063 -4.286
-3.693 -5.045 3.712
-7.372 5.378 -0.026
In Tl Pm
2 2 6
Cartesian
-9.450 0.302 1.690
-3.105 -2.032 -2.290
-6.918 -3.120 -0.441
-5.637 1.390 -0.159
-4.369 -4.980 -0.432
-8.186 3.249 -0.168
-2.590 1.061 -1.060
-8.158 -0.322 -1.357
-4.397 -1.408 0.757
-9.965 -2.791 0.459
```

Results
Size of the total moment ... 0.00 μB per formula unit

Bottom line: entry one, by a margin of 108 meV per atom.

Entry one
Below is Pm3TmIn3 after structural relaxation, with properties calculated at the GGA-PBE level.

POSCAR file:
```
Pm3TmIn3
1.0
-2.045 -0.603 9.212
-1.003 -9.364 -0.835
9.177 -1.158 1.961
In Pm Tm
12 12 4
Cartesian
6.924 -7.532 8.385
2.629 -4.456 7.508
7.684 -3.410 1.558
3.020 -8.415 9.749
5.579 -5.692 4.429
4.028 -1.979 3.128
-1.323 -8.284 1.653
-0.063 -2.741 4.734
1.454 -5.117 1.278
1.617 -7.685 4.633
4.653 -10.549 6.485
0.573 -0.892 8.484
4.751 -8.668 3.603
4.089 -7.422 6.897
0.586 -7.225 7.625
4.637 -4.747 1.375
1.877 -8.285 1.497
5.824 -4.366 7.596
2.739 -1.476 6.020
1.097 -1.991 1.850
6.794 -2.730 4.560
-0.832 -5.655 3.641
5.714 -10.372 9.638
-0.503 -3.812 7.721
3.345 -1.960 9.558
2.584 -4.690 4.358
7.717 -6.531 2.046
-1.387 -9.070 4.712
```

Results
Size of the total moment ... 0.00 μB per formula unit

Entry two
Below is Pm3TmIn3 after structural relaxation, with properties calculated at the GGA-PBE level.

POSCAR file:
```
Pm3TmIn3
1.0
6.686 0.683 0.227
-2.367 6.290 0.227
-0.443 -0.715 9.750
In Pm Tm
6 6 2
Cartesian
4.789 3.387 7.560
0.899 5.796 7.560
2.977 0.462 2.644
-0.244 -0.394 7.505
-0.913 2.871 2.644
4.120 6.653 2.699
2.424 3.913 3.369
4.825 1.341 5.102
4.567 1.996 0.227
1.453 2.345 6.835
-0.247 4.978 0.227
-0.949 4.917 5.102
1.205 1.945 0.507
2.672 4.313 9.697
```

Results
Size of the total moment ... 0.00 μB per formula unit

Bottom line: entry one, by a margin of 44 meV per atom.